Density functional theory data (PBE) for a geometry-optimized BaCrCuMo2 structure.

Output
The calculation puts the formation energy at 1.51 eV/atom. Its crystal system is tetragonal. The mass density is 6.2 g/cm³.

Lattice parameters (Å, degrees): 4.527 4.527 5.839 90.00 90.00 90.00
Fractional positions:
Ba: 0.000 0.000 0.000
Cr: 0.000 0.000 0.500
Cu: 0.500 0.500 0.000
Mo: 0.000 0.500 0.500
Mo: 0.500 0.000 0.500